! PBE ZrCuP2, optimized geometry; values from VASP
! Space-group type: Cmmm (65)
! D(E_F): 0.283 states/eV/atom
! E_tot: -24.49 eV for the cell shown
&SYSTEM
  ibrav = 0, nat = 4, ntyp = 3
/
ATOMIC_SPECIES
Zr 91.22 Zr.upf
Cu 63.55 Cu.upf
P 30.97 P.upf
CELL_PARAMETERS angstrom
1.9523 -2.5971 0.0000
1.9523 2.5971 0.0000
0.0000 0.0000 6.5123
ATOMIC_POSITIONS angstrom
Zr 0.0000 0.0000 0.0000
Cu 0.0000 0.0000 3.2562
P 1.9523 0.0000 1.7274
P 1.9523 0.0000 4.7850

! PBE Zr4CuP, optimized geometry; values from VASP
! Space-group type: F-43m (216)
! D(E_F): 1.047 states/eV/atom
! Energy relative to the lowest polymorph listed for this composition: 1102.6 meV per atom
! E_tot: -40.47 eV for the cell shown
&SYSTEM
  ibrav = 0, nat = 6, ntyp = 3
/
ATOMIC_SPECIES
Zr 91.22 Zr.upf
Cu 63.55 Cu.upf
P 30.97 P.upf
CELL_PARAMETERS angstrom
0.0000 3.9741 3.9741
3.9741 0.0000 3.9741
3.9741 3.9741 0.0000
ATOMIC_POSITIONS angstrom
Zr 0.9905 0.9905 0.9905
Zr 2.9836 2.9836 0.9905
Zr 2.9836 0.9905 2.9836
Zr 0.9905 2.9836 2.9836
Cu 5.9612 5.9612 5.9612
P 3.9741 3.9741 3.9741

! PBE ZrCuP2, optimized geometry; values from VASP
! Space-group type: R-3m (166)
! D(E_F): 0.648 states/eV/atom
! E_tot: -25.02 eV for the cell shown
&SYSTEM
  ibrav = 0, nat = 4, ntyp = 3
/
ATOMIC_SPECIES
Zr 91.22 Zr.upf
Cu 63.55 Cu.upf
P 30.97 P.upf
CELL_PARAMETERS angstrom
1.8695 1.0794 5.6584
-1.8695 1.0794 5.6584
0.0000 -2.1588 5.6584
ATOMIC_POSITIONS angstrom
Zr 0.0000 0.0000 0.0000
Cu 0.0000 0.0000 8.4876
P 0.0000 0.0000 4.1290
P 0.0000 0.0000 12.8462

! PBE ZrCuP2, optimized geometry; values from VASP
! Space-group type: P4mm (99)
! D(E_F): 0.382 states/eV/atom
! E_tot: -25.53 eV for the cell shown
&SYSTEM
  ibrav = 0, nat = 4, ntyp = 3
/
ATOMIC_SPECIES
Zr 91.22 Zr.upf
Cu 63.55 Cu.upf
P 30.97 P.upf
CELL_PARAMETERS angstrom
3.5744 0.0000 0.0000
0.0000 3.5744 0.0000
0.0000 0.0000 5.2104
ATOMIC_POSITIONS angstrom
Zr 0.0000 0.0000 0.0000
Cu 1.7872 1.7872 1.9117
P 0.0000 0.0000 2.4826
P 1.7872 1.7872 4.4929

! PBE ZrCuP, optimized geometry; values from VASP
! Space-group type: F-43m (216)
! D(E_F): 0.502 states/eV/atom
! E_tot: -19.43 eV for the cell shown
&SYSTEM
  ibrav = 0, nat = 3, ntyp = 3
/
ATOMIC_SPECIES
Zr 91.22 Zr.upf
Cu 63.55 Cu.upf
P 30.97 P.upf
CELL_PARAMETERS angstrom
0.0000 2.9513 2.9513
2.9513 0.0000 2.9513
2.9513 2.9513 0.0000
ATOMIC_POSITIONS angstrom
Zr 0.0000 0.0000 0.0000
Cu 2.9513 2.9513 2.9513
P 1.4757 1.4757 1.4757

! PBE ZrCuP, optimized geometry; values from VASP
! Space-group type: F-43m (216)
! D(E_F): 0.400 states/eV/atom
! E_tot: -18.67 eV for the cell shown
&SYSTEM
  ibrav = 0, nat = 3, ntyp = 3
/
ATOMIC_SPECIES
Zr 91.22 Zr.upf
Cu 63.55 Cu.upf
P 30.97 P.upf
CELL_PARAMETERS angstrom
0.0000 3.0651 3.0651
3.0651 0.0000 3.0651
3.0651 3.0651 0.0000
ATOMIC_POSITIONS angstrom
Zr 0.0000 0.0000 0.0000
Cu 4.5977 4.5977 4.5977
P 1.5326 1.5326 1.5326

! PBE ZrCuP, optimized geometry; values from VASP
! Space-group type: I4/mmm (139)
! D(E_F): 0.308 states/eV/atom
! E_tot: -41.27 eV for the cell shown
&SYSTEM
  ibrav = 0, nat = 6, ntyp = 3
/
ATOMIC_SPECIES
Zr 91.22 Zr.upf
Cu 63.55 Cu.upf
P 30.97 P.upf
CELL_PARAMETERS angstrom
-1.8457 1.8457 6.7246
1.8457 -1.8457 6.7246
1.8457 1.8457 -6.7246
ATOMIC_POSITIONS angstrom
Zr 0.0000 0.0000 2.3160
Zr 0.0000 0.0000 11.1333
Cu 1.8457 0.0000 0.0000
Cu 0.0000 1.8457 0.0000
P 0.0000 0.0000 4.9873
P 0.0000 0.0000 8.4619

! PBE Zr2CuP, optimized geometry; values from VASP
! Space-group type: Amm2 (38)
! D(E_F): 0.579 states/eV/atom
! E_tot: -29.94 eV for the cell shown
&SYSTEM
  ibrav = 0, nat = 4, ntyp = 3
/
ATOMIC_SPECIES
Zr 91.22 Zr.upf
Cu 63.55 Cu.upf
P 30.97 P.upf
CELL_PARAMETERS angstrom
3.6899 0.0000 0.0000
0.0000 1.8681 5.0199
0.0000 -1.8681 5.0199
ATOMIC_POSITIONS angstrom
Zr 0.0000 0.0000 0.0000
Zr 1.8450 0.0000 2.9864
Cu 1.8450 0.0000 5.7975
P 0.0000 0.0000 7.2653

! PBE ZrCuP2, optimized geometry; values from VASP
! Space-group type: F-43m (216)
! D(E_F): 0.726 states/eV/atom
! E_tot: -23.34 eV for the cell shown
&SYSTEM
  ibrav = 0, nat = 4, ntyp = 3
/
ATOMIC_SPECIES
Zr 91.22 Zr.upf
Cu 63.55 Cu.upf
P 30.97 P.upf
CELL_PARAMETERS angstrom
0.0000 3.1632 3.1632
3.1632 0.0000 3.1632
3.1632 3.1632 0.0000
ATOMIC_POSITIONS angstrom
Zr 0.0000 0.0000 0.0000
Cu 4.7448 4.7448 4.7448
P 1.5816 1.5816 1.5816
P 3.1632 3.1632 3.1632

! PBE Zr2CuP, optimized geometry; values from VASP
! Space-group type: I-42d (122)
! D(E_F): 1.045 states/eV/atom
! E_tot: -56.00 eV for the cell shown
&SYSTEM
  ibrav = 0, nat = 8, ntyp = 3
/
ATOMIC_SPECIES
Zr 91.22 Zr.upf
Cu 63.55 Cu.upf
P 30.97 P.upf
CELL_PARAMETERS angstrom
-3.5473 3.5473 2.9831
3.5473 -3.5473 2.9831
3.5473 3.5473 -2.9831
ATOMIC_POSITIONS angstrom
Zr 5.3210 1.7140 -0.7458
Zr 1.7140 1.7737 0.7458
Zr -1.7737 1.8333 2.2373
Zr 1.8333 1.7737 3.7288
Cu 3.5473 0.0000 1.4915
Cu 0.0000 0.0000 2.9831
P 0.0000 0.0000 0.0000
P 0.0000 3.5473 1.4915

! PBE ZrCuP2, optimized geometry; values from VASP
! Space-group type: Pm (6)
! D(E_F): 0.196 states/eV/atom
! E_tot: -25.04 eV for the cell shown
&SYSTEM
  ibrav = 0, nat = 4, ntyp = 3
/
ATOMIC_SPECIES
Zr 91.22 Zr.upf
Cu 63.55 Cu.upf
P 30.97 P.upf
CELL_PARAMETERS angstrom
2.9081 0.0000 0.0000
0.0000 4.4912 0.0000
-0.8641 0.0000 4.9501
ATOMIC_POSITIONS angstrom
Zr 0.0000 0.0000 0.0000
Cu 1.2358 2.2456 1.6557
P 0.4641 2.2456 4.1434
P 1.5500 0.0000 2.2512

! PBE ZrCuP, optimized geometry; values from VASP
! Space-group type: Cm (8)
! D(E_F): 0.467 states/eV/atom
! E_tot: -40.44 eV for the cell shown
&SYSTEM
  ibrav = 0, nat = 6, ntyp = 3
/
ATOMIC_SPECIES
Zr 91.22 Zr.upf
Cu 63.55 Cu.upf
P 30.97 P.upf
CELL_PARAMETERS angstrom
4.9721 -1.8677 0.0000
4.9721 1.8677 0.0000
-1.6744 0.0000 5.2113
ATOMIC_POSITIONS angstrom
Zr 0.0000 0.0000 0.0000
Zr 5.4027 0.0000 3.1369
Cu 2.5121 0.0000 2.8589
Cu 6.9624 0.0000 0.8222
P 1.3061 0.0000 4.8413
P 8.6472 0.0000 2.4209

Calculated energy relative to the elements in order - -0.26 0.54 -0.39 -0.52 -0.46 -0.20 -0.86 -0.84 0.03 -0.35 -0.39 -0.72 eV/atom
Calculated M_tot in order - 0.00 0.00 0.00 0.00 0.00 0.00 0.00 0.00 0.00 0.00 0.00 0.00 μB/f.u.